VASP calculation (meta-GGA SCAN) on a PBEsol-optimized structure of MgAl2Cr.

D(E_F) (states/eV per atom): 0.42
Magnetization (μB/cell): 6.48
E_tot (eV per atom): -9.765
Crystal system: orthorhombic

Cell and atoms, written as CIF:
```
data_MgAl2Cr
_space_group_name_H-M_alt 'C m m m'
_space_group_IT_number 65
_space_group_name_Hall '-C 2 2'
_cell_length_a 5.6414
_cell_length_b 7.7584
_cell_length_c 2.8987
_cell_angle_alpha 90.00
_cell_angle_beta 90.00
_cell_angle_gamma 90.00
loop_
_atom_site_label
_atom_site_fract_x
_atom_site_fract_y
_atom_site_fract_z
Mg1 0.0000 0.0000 0.0000
Al1 0.2500 0.2500 0.5000
Cr1 0.0000 0.5000 0.0000
```


VASP calculation (meta-GGA SCAN) on a PBEsol-optimized structure of MgAlCr3.

D(E_F) (states/eV per atom): 0.73
Magnetization (μB/cell): 12.04
E_tot (eV per atom): -12.143
Crystal system: cubic

Cell and atoms, written as CIF:
```
data_MgAlCr3
_space_group_name_H-M_alt 'P m -3 m'
_space_group_IT_number 221
_space_group_name_Hall '-P 4 2 3'
_cell_length_a 4.6428
_cell_length_b 4.6428
_cell_length_c 4.6428
_cell_angle_alpha 90.00
_cell_angle_beta 90.00
_cell_angle_gamma 90.00
loop_
_atom_site_label
_atom_site_fract_x
_atom_site_fract_y
_atom_site_fract_z
Mg1 0.0000 0.0000 0.0000
Al1 0.5000 0.5000 0.5000
Cr1 0.0000 0.0000 0.5000
```


VASP calculation (meta-GGA SCAN) on a PBEsol-optimized structure of MgAlCr.

Polymorph energy (0 for the lowest one) (meV per atom): 73.9
D(E_F) (states/eV per atom): 0.66
Magnetization (μB/cell): 13.50
E_tot (eV per atom): -10.041
Crystal system: cubic

Cell and atoms, written as CIF:
```
data_MgAlCr
_space_group_name_H-M_alt 'F -4 3 m'
_space_group_IT_number 216
_space_group_name_Hall 'F -4 2 3'
_cell_length_a 6.2073
_cell_length_b 6.2073
_cell_length_c 6.2073
_cell_angle_alpha 90.00
_cell_angle_beta 90.00
_cell_angle_gamma 90.00
loop_
_atom_site_label
_atom_site_fract_x
_atom_site_fract_y
_atom_site_fract_z
Mg1 0.0000 0.0000 0.0000
Al1 0.2500 0.2500 0.7500
Cr1 0.0000 0.0000 0.5000
```


VASP calculation (meta-GGA SCAN) on a PBEsol-optimized structure of MgAl2Cr.

D(E_F) (states/eV per atom): 0.41
Magnetization (μB/cell): 0.00
E_tot (eV per atom): -9.670
Crystal system: tetragonal

Cell and atoms, written as CIF:
```
data_MgAl2Cr
_space_group_name_H-M_alt 'I 4/m m m'
_space_group_IT_number 139
_space_group_name_Hall '-I 4 2'
_cell_length_a 3.8186
_cell_length_b 3.8186
_cell_length_c 8.0710
_cell_angle_alpha 90.00
_cell_angle_beta 90.00
_cell_angle_gamma 90.00
loop_
_atom_site_label
_atom_site_fract_x
_atom_site_fract_y
_atom_site_fract_z
Mg1 0.0000 0.0000 0.0000
Al1 0.0000 0.5000 0.2500
Cr1 0.0000 0.0000 0.5000
```


VASP calculation (meta-GGA SCAN) on a PBEsol-optimized structure of MgAlCr2.

D(E_F) (states/eV per atom): 0.51
Magnetization (μB/cell): 0.07
E_tot (eV per atom): -12.087
Crystal system: monoclinic

Cell and atoms, written as CIF:
```
data_MgAlCr2
_space_group_name_H-M_alt 'C 1 m 1'
_space_group_IT_number 8
_cell_length_a 8.6439
_cell_length_b 2.5617
_cell_length_c 4.9449
_cell_angle_alpha 90.00
_cell_angle_beta 92.75
_cell_angle_gamma 90.00
loop_
_space_group_symop_operation_xyz
'x,y,z'
'x,-y,z'
'x+1/2,y+1/2,z'
'x+1/2,-y+1/2,z'
loop_
_atom_site_label
_atom_site_fract_x
_atom_site_fract_y
_atom_site_fract_z
Mg1 0.0000 0.0000 0.0000
Al1 0.2496 0.0000 0.7345
Cr1 0.0142 0.5000 0.4836
Cr2 0.2498 0.5000 0.2744
```


VASP calculation (meta-GGA SCAN) on a PBEsol-optimized structure of MgAlCr.

Polymorph energy (0 for the lowest one) (meV per atom): 8.1
D(E_F) (states/eV per atom): 0.45
Magnetization (μB/cell): 3.27
E_tot (eV per atom): -10.107
Crystal system: trigonal

Cell and atoms, written as CIF:
```
data_MgAlCr
_space_group_name_H-M_alt 'P 3 m 1'
_space_group_IT_number 156
_cell_length_a 2.7796
_cell_length_b 2.7796
_cell_length_c 6.8279
_cell_angle_alpha 90.00
_cell_angle_beta 90.00
_cell_angle_gamma 120.00
loop_
_space_group_symop_operation_xyz
'x,y,z'
'-y,x-y,z'
'-x+y,-x,z'
'-y,-x,z'
'-x+y,y,z'
'x,x-y,z'
loop_
_atom_site_label
_atom_site_fract_x
_atom_site_fract_y
_atom_site_fract_z
Mg1 0.0000 0.0000 0.0000
Al1 0.3333 0.6667 0.6264
Cr1 0.6667 0.3333 0.3302
```


VASP calculation (meta-GGA SCAN) on a PBEsol-optimized structure of MgAlCr2.

D(E_F) (states/eV per atom): 0.56
Magnetization (μB/cell): 0.00
E_tot (eV per atom): -11.949
Crystal system: monoclinic

Cell and atoms, written as CIF:
```
data_MgAlCr2
_space_group_name_H-M_alt 'C 1 2/m 1'
_space_group_IT_number 12
_cell_length_a 8.9100
_cell_length_b 2.5766
_cell_length_c 4.8197
_cell_angle_alpha 90.00
_cell_angle_beta 97.82
_cell_angle_gamma 90.00
loop_
_space_group_symop_operation_xyz
'x,y,z'
'-x,-y,-z'
'-x,y,-z'
'x,-y,z'
'x+1/2,y+1/2,z'
'-x+1/2,-y+1/2,-z'
'-x+1/2,y+1/2,-z'
'x+1/2,-y+1/2,z'
loop_
_atom_site_label
_atom_site_fract_x
_atom_site_fract_y
_atom_site_fract_z
Mg1 0.0000 0.0000 0.0000
Al1 0.0000 0.5000 0.5000
Cr1 0.2415 0.0000 0.7372
```


VASP calculation (meta-GGA SCAN) on a PBEsol-optimized structure of MgAl4Cr.

D(E_F) (states/eV per atom): 0.35
Magnetization (μB/cell): 11.35
E_tot (eV per atom): -9.001
Crystal system: cubic

Cell and atoms, written as CIF:
```
data_MgAl4Cr
_space_group_name_H-M_alt 'F -4 3 m'
_space_group_IT_number 216
_space_group_name_Hall 'F -4 2 3'
_cell_length_a 7.2094
_cell_length_b 7.2094
_cell_length_c 7.2094
_cell_angle_alpha 90.00
_cell_angle_beta 90.00
_cell_angle_gamma 90.00
loop_
_atom_site_label
_atom_site_fract_x
_atom_site_fract_y
_atom_site_fract_z
Mg1 0.0000 0.0000 0.0000
Al1 0.1248 0.1248 0.3752
Cr1 0.2500 0.2500 0.7500
```


VASP calculation (meta-GGA SCAN) on a PBEsol-optimized structure of Mg2Al3CrS8.

D(E_F) (states/eV per atom): 0.00
Magnetization (μB/cell): 8.98
E_tot (eV per atom): -10.557
Crystal system: trigonal
Energy relative to the elements, uncorrected (eV per atom): -1.371

Cell and atoms, written as CIF:
```
data_Mg2Al3CrS8
_space_group_name_H-M_alt 'R -3 m'
_space_group_IT_number 166
_space_group_name_Hall '-R 3 2"'
_cell_length_a 7.1526
_cell_length_b 7.1526
_cell_length_c 17.6021
_cell_angle_alpha 90.00
_cell_angle_beta 90.00
_cell_angle_gamma 120.00
loop_
_atom_site_label
_atom_site_fract_x
_atom_site_fract_y
_atom_site_fract_z
Mg1 0.0000 0.0000 0.1255
Al1 0.0000 0.5000 0.0000
Cr1 0.0000 0.0000 0.5000
S1 0.0000 0.0000 0.2620
S2 0.0344 0.5172 0.2535
```


VASP calculation (meta-GGA SCAN) on a PBEsol-optimized structure of MnAlCr2.

D(E_F) (states/eV per atom): 0.28
Magnetization (μB/cell): 1.98
E_tot (eV per atom): -15.933
Crystal system: tetragonal

Cell and atoms, written as CIF:
```
data_MnAlCr2
_space_group_name_H-M_alt 'P 4 m m'
_space_group_IT_number 99
_cell_length_a 2.8634
_cell_length_b 2.8634
_cell_length_c 5.7631
_cell_angle_alpha 90.00
_cell_angle_beta 90.00
_cell_angle_gamma 90.00
loop_
_space_group_symop_operation_xyz
'x,y,z'
'-y,x,z'
'-x,-y,z'
'y,-x,z'
'-x,y,z'
'y,x,z'
'x,-y,z'
'-y,-x,z'
loop_
_atom_site_label
_atom_site_fract_x
_atom_site_fract_y
_atom_site_fract_z
Mn1 0.0000 0.0000 0.0000
Al1 0.5000 0.5000 0.2609
Cr1 0.0000 0.0000 0.5377
Cr2 0.5000 0.5000 0.7652
```


VASP calculation (meta-GGA SCAN) on a PBEsol-optimized structure of MnAlCr2.

D(E_F) (states/eV per atom): 0.40
Magnetization (μB/cell): 2.21
E_tot (eV per atom): -15.946
Crystal system: orthorhombic

Cell and atoms, written as CIF:
```
data_MnAlCr2
_space_group_name_H-M_alt 'P m m m'
_space_group_IT_number 47
_cell_length_a 2.9412
_cell_length_b 3.9759
_cell_length_c 4.0456
_cell_angle_alpha 90.00
_cell_angle_beta 90.00
_cell_angle_gamma 90.00
loop_
_space_group_symop_operation_xyz
'x,y,z'
'-x,-y,-z'
'-x,-y,z'
'x,y,-z'
'x,-y,-z'
'-x,y,z'
'-x,y,-z'
'x,-y,z'
loop_
_atom_site_label
_atom_site_fract_x
_atom_site_fract_y
_atom_site_fract_z
Mn1 0.0000 0.0000 0.0000
Al1 0.5000 0.5000 0.0000
Cr1 0.0000 0.5000 0.5000
Cr2 0.5000 0.0000 0.5000
```


VASP calculation (meta-GGA SCAN) on a PBEsol-optimized structure of MnAlCr.

Polymorph energy (0 for the lowest one) (meV per atom): 0.0
D(E_F) (states/eV per atom): 0.46
Magnetization (μB/cell): 0.00
E_tot (eV per atom): -15.020
Crystal system: tetragonal

Cell and atoms, written as CIF:
```
data_MnAlCr
_space_group_name_H-M_alt 'I 4 m m'
_space_group_IT_number 107
_space_group_name_Hall 'I 4 -2'
_cell_length_a 2.8291
_cell_length_b 2.8291
_cell_length_c 8.7017
_cell_angle_alpha 90.00
_cell_angle_beta 90.00
_cell_angle_gamma 90.00
loop_
_atom_site_label
_atom_site_fract_x
_atom_site_fract_y
_atom_site_fract_z
Mn1 0.0000 0.0000 0.0000
Al1 0.0000 0.0000 0.6778
Cr1 0.0000 0.0000 0.3619
```


VASP calculation (meta-GGA SCAN) on a PBEsol-optimized structure of MnAlCr2.

D(E_F) (states/eV per atom): 0.64
Magnetization (μB/cell): 1.06
E_tot (eV per atom): -15.837
Crystal system: orthorhombic

Cell and atoms, written as CIF:
```
data_MnAlCr2
_space_group_name_H-M_alt 'I m m m'
_space_group_IT_number 71
_space_group_name_Hall '-I 2 2'
_cell_length_a 2.8467
_cell_length_b 3.9837
_cell_length_c 8.0738
_cell_angle_alpha 90.00
_cell_angle_beta 90.00
_cell_angle_gamma 90.00
loop_
_atom_site_label
_atom_site_fract_x
_atom_site_fract_y
_atom_site_fract_z
Mn1 0.0000 0.0000 0.0000
Al1 0.0000 0.0000 0.5000
Cr1 0.0000 0.5000 0.2630
```


VASP calculation (meta-GGA SCAN) on a PBEsol-optimized structure of MnAlCr2.

D(E_F) (states/eV per atom): 0.61
Magnetization (μB/cell): 1.23
E_tot (eV per atom): -15.797
Crystal system: orthorhombic

Cell and atoms, written as CIF:
```
data_MnAlCr2
_space_group_name_H-M_alt 'I m m 2'
_space_group_IT_number 44
_cell_length_a 2.8582
_cell_length_b 4.0756
_cell_length_c 7.8993
_cell_angle_alpha 90.00
_cell_angle_beta 90.00
_cell_angle_gamma 90.00
loop_
_space_group_symop_operation_xyz
'x,y,z'
'-x,-y,z'
'-x,y,z'
'x,-y,z'
'x+1/2,y+1/2,z+1/2'
'-x+1/2,-y+1/2,z+1/2'
'-x+1/2,y+1/2,z+1/2'
'x+1/2,-y+1/2,z+1/2'
loop_
_atom_site_label
_atom_site_fract_x
_atom_site_fract_y
_atom_site_fract_z
Mn1 0.0000 0.0000 0.0000
Al1 0.0000 0.5000 0.7612
Cr1 0.0000 0.0000 0.5287
Cr2 0.0000 0.5000 0.2619
```


VASP calculation (meta-GGA SCAN) on a PBEsol-optimized structure of MnAlCr.

Polymorph energy (0 for the lowest one) (meV per atom): 205.4
D(E_F) (states/eV per atom): 0.76
Magnetization (μB/cell): 5.14
E_tot (eV per atom): -14.815
Crystal system: orthorhombic

Cell and atoms, written as CIF:
```
data_MnAlCr
_space_group_name_H-M_alt 'F m m 2'
_space_group_IT_number 42
_space_group_name_Hall 'F 2 -2'
_cell_length_a 2.8231
_cell_length_b 4.1929
_cell_length_c 12.0178
_cell_angle_alpha 90.00
_cell_angle_beta 90.00
_cell_angle_gamma 90.00
loop_
_atom_site_label
_atom_site_fract_x
_atom_site_fract_y
_atom_site_fract_z
Mn1 0.0000 0.0000 0.0000
Al1 0.0000 0.0000 0.3296
Cr1 0.0000 0.0000 0.6536
```